[1]
# ThCo6Ge4

A geometry-optimized ThCo6Ge4 structure (PBE-GGA, Alexandria).

a b c (Å): 3.7715 6.8103 6.8103
angles (deg): 120.00 90.00 90.00
Closest atoms and distances in Å follow each position.
Element x y z (fractional)
Co  0.5000  0.5888  0.7944  4 Ge 2.39-2.41, 2 Co 2.61
Co  0.5000  0.2056  0.7944  4 Ge 2.39-2.41, 2 Co 2.61
Co  0.0000  0.9307  0.4654  5 Ge 2.37-2.45
Co  0.5000  0.2056  0.4112  4 Ge 2.39-2.41, 2 Co 2.61
Co  0.0000  0.5346  0.4654  5 Ge 2.37-2.45
Co  0.0000  0.5346  0.0693  5 Ge 2.37-2.45
Ge  0.0000  0.3333  0.6667  9 Co 2.37-2.41
Ge  0.5000  0.3980  0.1990  6 Co 2.39-2.45
Ge  0.5000  0.8010  0.6020  6 Co 2.39-2.45
Ge  0.5000  0.8010  0.1990  6 Co 2.39-2.45
Th  0.0000  0.0000  0.0000  6 Ge 3.01, 6 Co 3.07

Computed properties:
D(E_F) = 7.3 states/eV/f.u.
final energy = -6.604 eV/atom
energy relative to the elements = -0.375 eV/atom
SG = P-6m2 (187)
spin magnetization = 0.0 μB per cell

---

[2]
# Ac2La5Dy12

A geometry-optimized Ac2La5Dy12 structure (PBE-GGA, Alexandria).

a b c (Å): 7.2703 15.0068 16.4316
angles (deg): 153.87 89.89 104.12
Closest atoms and distances in Å follow each position.
Element x y z (fractional)
Dy  0.0383  0.0749  0.8754  8 Dy 3.39-3.66, 1 La 3.55, 2 Ac 3.57-3.58
Dy  0.5370  0.5557  0.9483  5 Dy 3.26-3.49, 2 La 3.42-3.60
Dy  0.4482  0.4048  0.6185  3 La 3.48-3.75, 7 Dy 3.49-3.68, 1 Ac 3.72
Dy  0.9617  0.9251  0.1246  8 Dy 3.39-3.66, 1 La 3.55, 2 Ac 3.57-3.58
Dy  0.9542  0.4047  0.6181  3 La 3.48-3.74, 7 Dy 3.49-3.68, 1 Ac 3.72
Dy  0.0458  0.5953  0.3819  3 La 3.48-3.74, 7 Dy 3.49-3.68, 1 Ac 3.72
Dy  0.4594  0.9210  0.1222  8 Dy 3.45-3.64, 2 La 3.56, 2 Ac 3.60
Dy  0.5406  0.0790  0.8778  8 Dy 3.45-3.64, 2 La 3.56, 2 Ac 3.60
Dy  0.9844  0.4450  0.0522  5 Dy 3.26-3.49, 2 La 3.42-3.61
Dy  0.0156  0.5550  0.9478  5 Dy 3.26-3.49, 2 La 3.42-3.61
Dy  0.4630  0.4443  0.0517  5 Dy 3.26-3.49, 2 La 3.42-3.60
Dy  0.5518  0.5952  0.3815  3 La 3.48-3.75, 7 Dy 3.49-3.68, 1 Ac 3.72
La  0.4965  0.9958  0.3990  1 La 3.21, 5 Dy 3.42-3.56
La  0.5035  0.0042  0.6010  1 La 3.21, 5 Dy 3.42-3.56
La  0.2508  0.5011  0.5007  6 Dy 3.55-3.75, 4 Ac 3.62-3.63, 2 La 3.63-3.64
La  0.7492  0.4989  0.4993  6 Dy 3.55-3.75, 4 Ac 3.62-3.63, 2 La 3.63-3.64
La  0.0000  0.0000  0.5000  4 Dy 3.60-3.61, 4 La 3.96-3.98
Ac  0.7513  0.0003  0.0003  6 Dy 3.57-3.72, 2 Ac 3.62-3.65, 4 La 3.62-3.63
Ac  0.2487  0.9997  0.9997  6 Dy 3.57-3.72, 2 Ac 3.62-3.65, 4 La 3.62-3.63

Computed properties:
D(E_F) = 26.6 states/eV/f.u.
final energy = -4.518 eV/atom
energy relative to the elements = 0.118 eV/atom
SG = P-1 (2)
spin magnetization = 0.0 μB per cell

---

[3]
# TbCeTm

A geometry-optimized TbCeTm structure (PBE-GGA, Alexandria).

a b c (Å): 6.0465 3.4929 9.3005
angles (deg): 78.78 83.79 105.98
Closest atoms and distances in Å follow each position.
Element x y z (fractional)
Tb  0.3463  0.9126  0.4926  5 Tb 3.46-3.56, 2 Ce 3.53-3.55, 5 Tm 3.53-3.56
Tb  0.8543  0.7494  0.3259  5 Ce 3.46-3.55, 5 Tb 3.46-3.56, 2 Tm 3.55-3.58
Ce  0.8387  0.4060  0.9991  5 Ce 3.38-3.55, 2 Tb 3.46-3.48, 5 Tm 3.48-3.54
Ce  0.3576  0.5863  0.1543  5 Ce 3.38-3.55, 2 Tm 3.44-3.45, 5 Tb 3.51-3.55
Tm  0.8430  0.0738  0.6679  5 Tm 3.48-3.52, 2 Ce 3.48-3.50, 5 Tb 3.53-3.58
Tm  0.3414  0.2414  0.8308  5 Ce 3.44-3.54, 5 Tm 3.48-3.52, 2 Tb 3.53-3.55

Computed properties:
distance to the lowest polymorph of the same formula = 0.02 eV/f.u.
D(E_F) = 6.6 states/eV/f.u.
final energy = -4.942 eV/atom
energy relative to the elements = 0.070 eV/atom
SG = P1 (1)
spin magnetization = 1.3 μB per cell

---

[4]
# Tb2S2O

A geometry-optimized Tb2S2O structure (PBE-GGA, Alexandria).

a b c (Å): 3.8361 7.0629 7.6245
angles (deg): 90.00 104.57 90.00
Closest atoms and distances in Å follow each position.
Element x y z (fractional)
O  0.4064  0.0839  0.8129  4 Tb 2.24-2.45
O  0.5936  0.5839  0.1871  4 Tb 2.24-2.45
Tb  0.4491  0.4134  0.8982  2 O 2.41-2.45
Tb  0.1655  0.5194  0.3309  2 O 2.24
Tb  0.8345  0.0194  0.6691  2 O 2.24
Tb  0.5509  0.9134  0.1018  2 O 2.41-2.45
S  0.9509  0.7214  0.9017  5 Tb 2.72-2.90, 2 O 3.01
S  0.7977  0.3962  0.5955  5 Tb 2.72-2.95
S  0.0491  0.2214  0.0983  5 Tb 2.72-2.90, 2 O 3.01
S  0.2023  0.8962  0.4045  5 Tb 2.72-2.95

Computed properties:
distance to the lowest polymorph of the same formula = 0.17 eV/f.u.
D(E_F) = 0.0 states/eV/f.u.
final energy = -7.094 eV/atom
formation energy without anion corrections = -12.99 eV/f.u.
SG = Cmc2_1 (36)
spin magnetization = 0.0 μB per cell

---

[5]
# K4Y3PuO8

A geometry-optimized K4Y3PuO8 structure (PBE-GGA, Alexandria).

a b c (Å): 7.0313 7.4667 7.0312
angles (deg): 118.10 120.00 90.00
Closest atoms and distances in Å follow each position.
Element x y z (fractional)
O  0.2310  0.6869  0.9560  2 Y 2.33, 1 Pu 2.36
O  0.7690  0.3131  0.5380  2 Y 2.33, 1 Pu 2.36
O  0.2712  0.3136  0.5424  3 Y 2.34
O  0.7288  0.6864  0.4576  3 Y 2.34
O  0.7250  0.6869  0.9560  2 Y 2.33, 1 Pu 2.36
O  0.2750  0.3131  0.0440  2 Y 2.33, 1 Pu 2.36
O  0.7690  0.3131  0.0440  2 Y 2.33, 1 Pu 2.36
O  0.2310  0.6869  0.4620  2 Y 2.33, 1 Pu 2.36
Y  0.0000  0.5000  0.5000  6 O 2.33-2.34
Y  0.5000  0.5000  0.0000  6 O 2.33-2.34
Y  0.5000  0.5000  0.5000  6 O 2.33-2.34
K  0.5000  0.0000  0.5000  6 O 2.83
K  0.5000  0.0000  0.0000  6 O 2.80-2.81
K  0.0000  0.0000  0.5000  6 O 2.83
K  0.0000  0.0000  0.0000  6 O 2.82-2.83
Pu  0.0000  0.5000  0.0000  6 O 2.36

Computed properties:
D(E_F) = 5.6 states/eV/f.u.
final energy = -7.500 eV/atom
formation energy without anion corrections = -42.22 eV/f.u.
SG = R-3m (166)
spin magnetization = 5.0 μB per cell

---

[6]
# La2ErSc

A geometry-optimized La2ErSc structure (PBE-GGA, Alexandria).

a b c (Å): 3.7028 5.9671 5.9671
angles (deg): 103.68 90.00 90.00
Closest atoms and distances in Å follow each position.
Element x y z (fractional)
Er  0.5000  0.0000  0.0000  8 La 3.51, 2 Sc 3.69, 2 Er 3.70
La  0.0000  0.5000  0.0000  4 Sc 3.51, 4 Er 3.51, 4 La 3.69-3.70
La  0.0000  0.0000  0.5000  4 Er 3.51, 4 Sc 3.51, 4 La 3.69-3.70
Sc  0.5000  0.5000  0.5000  8 La 3.51, 2 Er 3.69, 2 Sc 3.70

Computed properties:
distance to the lowest polymorph of the same formula = 0.04 eV/f.u.
D(E_F) = 5.8 states/eV/f.u.
final energy = -5.136 eV/atom
energy relative to the elements = 0.051 eV/atom
SG = Cmmm (65)
spin magnetization = 0.0 μB per cell

---

[7]
# RbSrSeO4

A geometry-optimized RbSrSeO4 structure (PBE-GGA, Alexandria).

a b c (Å): 6.7156 7.0574 7.0574
angles (deg): 63.12 61.59 61.59
Closest atoms and distances in Å follow each position.
Element x y z (fractional)
O  0.7278  0.7107  0.8338  1 Se 1.73
O  0.2722  0.6662  0.7893  1 Se 1.73
O  0.7278  0.3338  0.2107  1 Se 1.73
O  0.2290  0.2754  0.7754  1 Se 1.92
O  0.2797  0.7246  0.2246  1 Se 1.92
O  0.2722  0.2893  0.1662  1 Se 1.73
O  0.7203  0.2754  0.7754  1 Se 1.92
O  0.7710  0.7246  0.2246  1 Se 1.92
Se  0.3753  0.3747  0.8747  4 O 1.73-1.92
Se  0.6247  0.6253  0.1253  4 O 1.73-1.92
Rb  0.0000  0.0000  0.5000  6 O 2.75-2.86
Rb  0.5000  0.0000  0.5000  6 O 2.75-2.86
Sr  0.0000  0.5000  0.5000  6 O 2.53-2.75
Sr  0.0000  0.0000  0.0000  6 O 2.53-2.75

Computed properties:
D(E_F) = 2.3 states/eV/f.u.
final energy = -5.101 eV/atom
formation energy without anion corrections = -9.74 eV/f.u.
SG = Imma (74)
spin magnetization = 1.4 μB per cell

---

[8]
# TlGeO

A geometry-optimized TlGeO structure (PBE-GGA, Alexandria).

a b c (Å): 5.0695 3.3359 10.4873
angles (deg): 90.00 115.21 90.00
Closest atoms and distances in Å follow each position.
Element x y z (fractional)
Ge  0.3281  0.5000  0.7471  1 O 1.76
Ge  0.3281  0.0000  0.2471  1 O 1.76
Tl  0.7519  0.0000  0.5545  2 O 2.43
Tl  0.7519  0.5000  0.0545  2 O 2.43
O  0.5472  0.0000  0.1547  1 Ge 1.76
O  0.5472  0.5000  0.6547  1 Ge 1.76

Computed properties:
distance to the lowest polymorph of the same formula = 0.39 eV/f.u.
D(E_F) = 1.7 states/eV/f.u.
final energy = -4.443 eV/atom
formation energy without anion corrections = -1.39 eV/f.u.
SG = Cm (8)
spin magnetization = 0.0 μB per cell

---

[9]
# GeBi3W

A geometry-optimized GeBi3W structure (PBE-GGA, Alexandria).

a b c (Å): 5.4052 5.4052 5.4052
angles (deg): 90.00 90.00 90.00
Closest atoms and distances in Å follow each position.
Element x y z (fractional)
Bi  0.0000  0.5000  0.0000  2 W 2.70
Bi  0.5000  0.0000  0.0000  2 W 2.70
Bi  0.0000  0.0000  0.5000  2 W 2.70
Ge  0.5000  0.5000  0.5000  12 Bi 3.82
W  0.0000  0.0000  0.0000  6 Bi 2.70

Computed properties:
distance to the lowest polymorph of the same formula = 0.00 eV/f.u.
D(E_F) = 2.0 states/eV/f.u.
final energy = -4.888 eV/atom
energy relative to the elements = 0.955 eV/atom
SG = Pm-3m (221)
spin magnetization = 1.0 μB per cell

---

[10]
# Ti2Be16Au

A geometry-optimized Ti2Be16Au structure (PBE-GGA, Alexandria).

a b c (Å): 5.6723 5.6723 5.6723
angles (deg): 83.06 83.06 83.06
Closest atoms and distances in Å follow each position.
Element x y z (fractional)
Be  0.9992  0.6973  0.3022  8 Be 2.16-2.28
Be  0.3022  0.9992  0.6973  8 Be 2.16-2.28
Be  0.3022  0.6973  0.9992  8 Be 2.16-2.28
Be  0.4894  0.0058  0.0058  9 Be 2.15-2.26, 1 Au 2.37
Be  0.6973  0.9992  0.3022  8 Be 2.16-2.28
Be  0.1705  0.6487  0.6487  8 Be 2.13-2.27
Be  0.3449  0.3449  0.8395  9 Be 2.13-2.30
Be  0.8395  0.3449  0.3449  9 Be 2.13-2.30
Be  0.1124  0.1124  0.1124  6 Be 2.18-2.30, 1 Au 2.30
Be  0.6487  0.1705  0.6487  8 Be 2.13-2.27
Be  0.0058  0.4894  0.0058  9 Be 2.15-2.26, 1 Au 2.37
Be  0.9992  0.3022  0.6973  8 Be 2.16-2.28
Be  0.6973  0.3022  0.9992  8 Be 2.16-2.28
Be  0.6487  0.6487  0.1705  8 Be 2.13-2.27
Be  0.3449  0.8395  0.3449  9 Be 2.13-2.30
Be  0.0058  0.0058  0.4894  9 Be 2.15-2.26, 1 Au 2.37
Ti  0.3381  0.3381  0.3381  10 Be 2.47-2.66
Ti  0.6512  0.6512  0.6512  15 Be 2.63-2.94, 1 Au 2.75
Au  0.9026  0.9026  0.9026  13 Be 2.30-2.51

Computed properties:
D(E_F) = 5.7 states/eV/f.u.
final energy = -4.334 eV/atom
energy relative to the elements = -0.193 eV/atom
SG = R3m (160)
spin magnetization = 0.0 μB per cell

---

[11]
# SrEr2MnN4

A geometry-optimized SrEr2MnN4 structure (PBE-GGA, Alexandria).

a b c (Å): 3.4260 6.1124 11.6031
angles (deg): 90.00 90.00 106.28
Closest atoms and distances in Å follow each position.
Element x y z (fractional)
Sr  0.0966  0.1933  0.7500  8 N 2.83-3.11
Sr  0.9034  0.8067  0.2500  8 N 2.83-3.11
N  0.2594  0.5187  0.1209  1 Mn 1.80
N  0.7406  0.4813  0.8791  1 Mn 1.80
N  0.0000  0.0000  0.0000  4 Er 2.35
N  0.0000  0.0000  0.5000  4 Er 2.35
N  0.2594  0.5187  0.3791  1 Mn 1.80
N  0.5992  0.1983  0.2500  2 Mn 1.93
N  0.4008  0.8017  0.7500  2 Mn 1.93
N  0.7406  0.4813  0.6209  1 Mn 1.80
Er  0.6302  0.2604  0.4571  6 N 2.30-2.46
Er  0.6302  0.2604  0.0429  6 N 2.30-2.46
Er  0.3698  0.7396  0.9571  6 N 2.30-2.46
Er  0.3698  0.7396  0.5429  6 N 2.30-2.46
Mn  0.1744  0.3488  0.2500  4 N 1.80-1.93
Mn  0.8256  0.6512  0.7500  4 N 1.80-1.93

Computed properties:
D(E_F) = 1.6 states/eV/f.u.
final energy = -7.818 eV/atom
formation energy without anion corrections = -9.27 eV/f.u.
SG = Cmcm (63)
spin magnetization = 5.4 μB per cell

---

[12]
# Dy2Ho6Er

A geometry-optimized Dy2Ho6Er structure (PBE-GGA, Alexandria).

a b c (Å): 4.9750 10.5503 10.5506
angles (deg): 90.00 89.99 90.00
Closest atoms and distances in Å follow each position.
Element x y z (fractional)
Ho  0.0000  0.3333  0.4999  8 Ho 3.52, 1 Er 3.52, 3 Dy 3.52
Ho  0.5001  0.8332  0.3334  4 Dy 3.51-3.52, 6 Ho 3.52, 2 Er 3.52
Ho  0.0000  0.6667  0.5001  8 Ho 3.52, 1 Er 3.52, 3 Dy 3.52
Ho  0.0000  0.9999  0.1667  8 Ho 3.52, 3 Dy 3.52, 1 Er 3.52
Ho  0.5000  0.1667  0.9998  8 Ho 3.52, 1 Er 3.52, 3 Dy 3.52
Ho  0.5000  0.5001  0.6666  8 Ho 3.52, 3 Dy 3.52, 1 Er 3.52
Ho  0.9999  0.3332  0.1666  4 Dy 3.52, 6 Ho 3.52, 2 Er 3.52
Ho  0.0000  0.0001  0.8333  8 Ho 3.52, 3 Dy 3.52, 1 Er 3.52
Ho  0.5000  0.8333  0.0002  8 Ho 3.52, 1 Er 3.52, 3 Dy 3.52
Ho  0.0001  0.6668  0.8334  4 Dy 3.52, 6 Ho 3.52, 2 Er 3.52
Ho  0.5000  0.4999  0.3334  8 Ho 3.52, 3 Dy 3.52, 1 Er 3.52
Ho  0.4999  0.1668  0.6666  4 Dy 3.51-3.52, 6 Ho 3.52, 2 Er 3.52
Dy  0.5001  0.8336  0.6666  10 Ho 3.51-3.52, 2 Er 3.52
Dy  0.0001  0.6664  0.1666  10 Ho 3.52, 2 Er 3.52
Dy  0.9999  0.3336  0.8334  10 Ho 3.52, 2 Er 3.52
Dy  0.4999  0.1664  0.3334  10 Ho 3.51-3.52, 2 Er 3.52
Er  0.5000  0.5000  0.0000  4 Dy 3.52, 8 Ho 3.52
Er  0.0000  0.0000  0.5000  4 Dy 3.52, 8 Ho 3.52

Computed properties:
D(E_F) = 11.2 states/eV/f.u.
final energy = -4.561 eV/atom
energy relative to the elements = 0.021 eV/atom
SG = P4_2/mnm (136)
spin magnetization = 0.0 μB per cell

---

- Which formula does entry 12 have?
  Dy2Ho6Er

---

- Look up the spin magnetization of the eighth one.
  0.0 μB per cell

---

- D(E_F) of number 5 (K4Y3PuO8)?
  5.6 states/eV/f.u.